# 1
Compound: Mg17Al2
Source: Alexandria via LeMat-Bulk
Functional: GGA-PBE
Structure: relaxed

Properties
mass density: 1.66 g cm⁻³
crystal system: trigonal
ΔE_f: 0.1631 eV per atom
space group: R-3m, No. 166

a = 7.8823 Å, b = 7.8823 Å, c = 7.8823 Å
α = 79.02°, β = 79.02°, γ = 79.02°
Fractional positions:
Mg: 0.0000 0.0000 0.5000
Mg: 0.0000 0.3303 0.6697
Mg: 0.0000 0.5000 0.0000
Mg: 0.0000 0.6697 0.3303
Mg: 0.0903 0.0903 0.0903
Mg: 0.1617 0.6626 0.6626
Mg: 0.3303 0.0000 0.6697
Mg: 0.3303 0.6697 0.0000
Mg: 0.3374 0.3374 0.8383
Mg: 0.3374 0.8383 0.3374
Mg: 0.5000 0.0000 0.0000
Mg: 0.6626 0.1617 0.6626
Mg: 0.6626 0.6626 0.1617
Mg: 0.6697 0.0000 0.3303
Mg: 0.6697 0.3303 0.0000
Mg: 0.8383 0.3374 0.3374
Mg: 0.9097 0.9097 0.9097
Al: 0.2747 0.2747 0.2747
Al: 0.7253 0.7253 0.7253

---

# 2
Compound: NdThGaTc
Source: Alexandria via LeMat-Bulk
Functional: GGA-PBE
Structure: relaxed

Properties
mass density: 9.16 g cm⁻³
crystal system: orthorhombic
ΔE_f: -0.3339 eV per atom
space group: Amm2, No. 38

a = 3.9341 Å, b = 4.1635 Å, c = 12.0383 Å
α = 90.00°, β = 90.00°, γ = 90.00°
Fractional positions:
Nd: 0.0000 0.0000 0.0000
Nd: 0.0000 0.5000 0.5000
Th: 0.5000 0.0000 0.2776
Th: 0.5000 0.5000 0.7776
Ga: 0.5000 0.0000 0.5861
Ga: 0.5000 0.5000 0.0861
Tc: 0.0000 0.0000 0.7344
Tc: 0.0000 0.5000 0.2344

---

Question: Which of these has the lowest mass density?
Answer: Mg17Al2

---

Question: The lowest ΔE_f belongs to which entry?
Answer: NdThGaTc

---

Question: Which of these has the highest ΔE_f?
Answer: Mg17Al2

---

Question: Look up the ΔE_f of the first one.
Answer: 0.1631 eV per atom